Density functional theory data (PBE+U) for NiHgF3 after structural relaxation.

Cell and atoms, written as POSCAR:
```
NiHgF3
1.0
4.077 0.000 0.000
0.000 4.077 0.000
0.000 0.000 4.077
Hg F Ni
1 3 1
Cartesian
2.039 2.039 2.039
2.039 0.000 0.000
0.000 0.000 2.039
0.000 2.039 0.000
0.000 0.000 0.000
```

Relative energy among the computed polymorphs ... 0 meV/atom
Final energy ... -3.271 eV per atom